{"formula": "MgInHg2", "functional": "PBEsol", "state": "optimized geometry", "lattice": [[-3.949, 3.949, 3.116], [3.949, -3.949, 3.116], [3.949, 3.949, -3.116]], "species": ["Mg", "Mg", "In", "In", "Hg", "Hg", "Hg", "Hg"], "fractional_positions": [[0.000, 0.000, 0.000], [0.750, 0.250, 0.500], [0.250, 0.750, 0.500], [0.500, 0.500, 0.000], [0.116, 0.125, 0.491], [0.375, 0.884, 0.009], [0.634, 0.625, 0.509], [0.875, 0.366, 0.991]], "ef_ev_per_atom": -0.06}

{"formula": "BeAgAu2", "functional": "PBEsol", "state": "optimized geometry", "lattice": [[2.881, 0.000, 0.000], [0.000, 2.881, 0.000], [0.000, 0.000, 7.027]], "species": ["Be", "Ag", "Au", "Au"], "fractional_positions": [[0.000, 0.000, 0.000], [0.000, 0.000, 0.500], [0.500, 0.500, 0.205], [0.500, 0.500, 0.795]], "ef_ev_per_atom": -0.16}

{"formula": "Y2ReNi", "functional": "PBEsol", "state": "optimized geometry", "lattice": [[2.991, 0.000, 0.000], [0.000, 4.628, 0.000], [0.000, 0.000, 5.709]], "species": ["Y", "Y", "Re", "Ni"], "fractional_positions": [[0.000, 0.000, 0.000], [0.500, 0.500, 0.369], [0.500, 0.500, 0.851], [0.000, 0.000, 0.522]], "ef_ev_per_atom": 0.39}

{"formula": "NiAuN2", "functional": "PBEsol", "state": "optimized geometry", "lattice": [[0.000, 2.696, 2.696], [2.696, 0.000, 2.696], [2.696, 2.696, 0.000]], "species": ["Ni", "Au", "N", "N"], "fractional_positions": [[0.000, 0.000, 0.000], [0.500, 0.500, 0.500], [0.250, 0.250, 0.250], [0.750, 0.750, 0.750]], "e_form_raw_ev_per_atom": 1.544}

{"formula": "La3RuN", "functional": "PBEsol", "state": "optimized geometry", "lattice": [[5.271, 0.000, 0.000], [0.000, 5.271, 0.000], [0.000, 0.000, 5.271]], "species": ["La", "La", "La", "Ru", "N"], "fractional_positions": [[0.000, 0.000, 0.500], [0.000, 0.500, 0.000], [0.500, 0.000, 0.000], [0.000, 0.000, 0.000], [0.500, 0.500, 0.500]], "e_form_raw_ev_per_atom": 0.646}

{"formula": "SnAs3N", "functional": "PBEsol", "state": "optimized geometry", "lattice": [[4.414, 0.000, 0.000], [0.000, 4.414, 0.000], [0.000, 0.000, 4.414]], "species": ["Sn", "As", "As", "As", "N"], "fractional_positions": [[0.000, 0.000, 0.000], [0.000, 0.500, 0.500], [0.500, 0.000, 0.500], [0.500, 0.500, 0.000], [0.500, 0.500, 0.500]], "e_form_raw_ev_per_atom": 0.547}

{"formula": "GaH2RuSe", "functional": "PBEsol", "state": "optimized geometry", "lattice": [[3.443, 0.000, 0.000], [0.000, 3.443, 0.000], [0.000, 0.000, 5.396]], "species": ["Ga", "H", "H", "Ru", "Se"], "fractional_positions": [[0.000, 0.000, 0.000], [0.000, 0.500, 0.000], [0.500, 0.000, 0.000], [0.000, 0.000, 0.500], [0.500, 0.500, 0.500]], "final_energy_ev_per_atom": -4.430}

{"formula": "CsTl2Au2", "functional": "PBEsol", "state": "optimized geometry", "lattice": [[-2.602, 2.602, 5.515], [2.602, -2.602, 5.515], [2.602, 2.602, -5.515]], "species": ["Cs", "Tl", "Tl", "Au", "Au"], "fractional_positions": [[0.000, 0.000, 0.000], [0.355, 0.355, 0.000], [0.645, 0.645, 0.000], [0.250, 0.750, 0.500], [0.750, 0.250, 0.500]], "ef_ev_per_atom": -0.11}

{"formula": "Ta3IrPt", "functional": "PBEsol", "state": "optimized geometry", "lattice": [[4.735, 0.000, 0.000], [0.000, 4.735, 0.000], [0.000, 0.000, 4.735]], "species": ["Ta", "Ta", "Ta", "Ir", "Pt"], "fractional_positions": [[0.000, 0.000, 0.500], [0.000, 0.500, 0.000], [0.500, 0.000, 0.000], [0.000, 0.000, 0.000], [0.500, 0.500, 0.500]], "ef_ev_per_atom": 1.13}

{"formula": "CaReIr2", "functional": "PBEsol", "state": "optimized geometry", "lattice": [[-1.952, 1.952, 4.166], [1.952, -1.952, 4.166], [1.952, 1.952, -4.166]], "species": ["Ca", "Re", "Ir", "Ir"], "fractional_positions": [[0.000, 0.000, 0.000], [0.250, 0.750, 0.500], [0.500, 0.500, 0.000], [0.750, 0.250, 0.500]], "ef_ev_per_atom": 0.41}

{"formula": "TaSeS2", "functional": "PBEsol", "state": "optimized geometry", "lattice": [[-3.145, 3.145, 4.685], [3.145, -3.145, 4.685], [3.145, 3.145, -4.685]], "species": ["Ta", "Ta", "Se", "Se", "S", "S", "S", "S"], "fractional_positions": [[0.000, 0.000, 0.000], [0.750, 0.250, 0.500], [0.250, 0.750, 0.500], [0.500, 0.500, 0.000], [0.069, 0.125, 0.444], [0.375, 0.931, 0.056], [0.681, 0.625, 0.556], [0.875, 0.319, 0.944]], "e_form_raw_ev_per_atom": 0.056}

{"formula": "IrOsSe", "functional": "PBEsol", "state": "optimized geometry", "lattice": [[-1.418, 1.418, 5.671], [1.418, -1.418, 5.671], [1.418, 1.418, -5.671]], "species": ["Ir", "Os", "Se"], "fractional_positions": [[0.000, 0.000, 0.000], [0.653, 0.653, 0.000], [0.306, 0.306, 0.000]], "e_form_raw_ev_per_atom": 0.507}

{"formula": "Sc2Zn2Ag", "functional": "PBEsol", "state": "optimized geometry", "lattice": [[6.994, 0.000, 0.000], [0.000, 6.994, 0.000], [0.000, 0.000, 3.663]], "species": ["Sc", "Sc", "Sc", "Sc", "Zn", "Zn", "Zn", "Zn", "Ag", "Ag"], "fractional_positions": [[0.169, 0.331, 0.000], [0.331, 0.831, 0.000], [0.669, 0.169, 0.000], [0.831, 0.669, 0.000], [0.129, 0.629, 0.500], [0.371, 0.129, 0.500], [0.629, 0.871, 0.500], [0.871, 0.371, 0.500], [0.000, 0.000, 0.500], [0.500, 0.500, 0.500]], "ef_ev_per_atom": -0.30}

{"formula": "FeAg2Sb", "functional": "PBEsol", "state": "optimized geometry", "lattice": [[2.062, -2.068, 0.000], [2.062, 2.068, 0.000], [0.000, 0.000, 8.425]], "species": ["Fe", "Ag", "Ag", "Sb"], "fractional_positions": [[0.000, 0.000, 0.000], [0.500, 0.500, 0.210], [0.500, 0.500, 0.790], [0.000, 0.000, 0.500]], "e_form_raw_ev_per_atom": 0.377}

{"formula": "Pr2Mg", "functional": "PBEsol", "state": "optimized geometry", "lattice": [[1.895, -8.682, 0.000], [1.895, 8.682, 0.000], [0.000, 0.000, 5.617]], "species": ["Pr", "Pr", "Pr", "Pr", "Mg", "Mg"], "fractional_positions": [[0.088, 0.912, 0.750], [0.229, 0.771, 0.250], [0.771, 0.229, 0.750], [0.912, 0.088, 0.250], [0.431, 0.569, 0.750], [0.569, 0.431, 0.250]], "ef_ev_per_atom": -0.06}

{"formula": "YCuIr2", "functional": "PBEsol", "state": "optimized geometry", "lattice": [[0.000, 3.186, 3.186], [3.186, 0.000, 3.186], [3.186, 3.186, 0.000]], "species": ["Y", "Cu", "Ir", "Ir"], "fractional_positions": [[0.000, 0.000, 0.000], [0.250, 0.250, 0.250], [0.500, 0.500, 0.500], [0.750, 0.750, 0.750]], "ef_ev_per_atom": -0.02}

{"formula": "ZnCd2HPt", "functional": "PBEsol", "state": "optimized geometry", "lattice": [[5.247, 0.000, 0.000], [0.000, 5.247, 0.000], [0.000, 0.000, 3.297]], "species": ["Zn", "Cd", "Cd", "H", "Pt"], "fractional_positions": [[0.000, 0.000, 0.000], [0.000, 0.500, 0.500], [0.500, 0.000, 0.500], [0.500, 0.500, 0.000], [0.500, 0.500, 0.500]], "final_energy_ev_per_atom": -2.677}

{"formula": "KScMo", "functional": "PBEsol", "state": "optimized geometry", "lattice": [[0.000, 3.376, 3.376], [3.376, 0.000, 3.376], [3.376, 3.376, 0.000]], "species": ["K", "Sc", "Mo"], "fractional_positions": [[0.000, 0.000, 0.000], [0.250, 0.250, 0.250], [0.750, 0.750, 0.750]], "ef_ev_per_atom": 2.36}

{"formula": "K2Cd2Au", "functional": "PBEsol", "state": "optimized geometry", "lattice": [[-1.993, 1.993, 10.081], [1.993, -1.993, 10.081], [1.993, 1.993, -10.081]], "species": ["K", "K", "Cd", "Cd", "Au"], "fractional_positions": [[0.093, 0.093, 0.000], [0.907, 0.907, 0.000], [0.250, 0.750, 0.500], [0.750, 0.250, 0.500], [0.500, 0.500, 0.000]], "ef_ev_per_atom": -0.02}

{"formula": "AlGaBr2N", "functional": "PBEsol", "state": "optimized geometry", "lattice": [[5.725, 0.000, 0.000], [0.000, 5.725, 0.000], [0.000, 0.000, 3.446]], "species": ["Al", "Ga", "Br", "Br", "N"], "fractional_positions": [[0.000, 0.000, 0.000], [0.500, 0.500, 0.000], [0.000, 0.500, 0.500], [0.500, 0.000, 0.500], [0.000, 0.000, 0.500]], "e_form_raw_ev_per_atom": 0.069}

| no. | DOS(E_F) (states/eV per atom) | total magnetization (Bohr magnetons per cell) |
| --- | --- | --- |
| 1 | 0.3915 | 0.0 |
| 2 | 0.2590 | 0.0 |
| 3 | 0.8404 | 0.0 |
| 4 | 0.6598 | 0.0 |
| 5 | 0.8135 | 0.0 |
| 6 | 0.5436 | 0.0 |
| 7 | 0.8212 | 0.2 |
| 8 | 0.3562 | 0.0 |
| 9 | 1.0270 | 0.0 |
| 10 | 0.8652 | 0.0 |
| 11 | 1.2010 | 0.0 |
| 12 | 0.4907 | 0.0 |
| 13 | 0.7888 | 0.0 |
| 14 | 0.7029 | 2.9 |
| 15 | 1.1106 | 0.0 |
| 16 | 1.3908 | 1.1 |
| 17 | 0.2957 | 0.0 |
| 18 | 1.0114 | 2.4 |
| 19 | 0.3604 | 0.0 |
| 20 | 0.3600 | 0.0 |